(1)
# LaNdGe2Pd4

Crystalline LaNdGe2Pd4 at its relaxed geometry (PBE, OQMD).

abc: 4.454 4.454 9.514
angles: 90.00 90.00 120.00
Positions (direct):
La: 0.000 0.000 0.000
Nd: 0.667 0.333 0.500
Ge: 0.333 0.667 0.257
Ge: 0.333 0.667 0.743
Pd: 0.000 0.000 0.324
Pd: 0.000 0.000 0.676
Pd: 0.667 0.333 0.180
Pd: 0.667 0.333 0.820

Results
* total moment: 0.013 Bohr magnetons per cell
* volume: 20.43 A^3/atom
* electronic total energy: -5.745 eV/atom

(2)
# Na3Hg2Pd3

Crystalline Na3Hg2Pd3 at its relaxed geometry (PBE, OQMD).

abc: 7.506 7.506 7.506
angles: 42.30 42.30 42.30
Positions (direct):
Na: 0.000 0.000 0.000
Na: 0.428 0.428 0.428
Na: 0.572 0.572 0.572
Hg: 0.281 0.281 0.281
Hg: 0.719 0.719 0.719
Pd: 0.000 0.000 0.500
Pd: 0.000 0.500 0.000
Pd: 0.500 0.000 0.000

Results
* volume: 21.67 A^3/atom
* electronic total energy: -2.736 eV/atom

(3)
# Na3FeSe3

Crystalline Na3FeSe3 at its relaxed geometry (PBE, OQMD).

abc: 7.363 7.162 14.771
angles: 90.00 119.15 90.00
Positions (direct):
Na: 0.002 0.004 0.274
Na: 0.002 0.496 0.774
Na: 0.372 0.013 0.594
Na: 0.372 0.487 0.094
Na: 0.446 0.514 0.612
Na: 0.446 0.986 0.112
Na: 0.554 0.014 0.888
Na: 0.554 0.486 0.388
Na: 0.628 0.513 0.906
Na: 0.628 0.987 0.406
Na: 0.998 0.504 0.226
Na: 0.998 0.996 0.726
Fe: 0.000 0.124 0.074
Fe: 0.000 0.376 0.574
Fe: 0.000 0.624 0.426
Fe: 0.000 0.876 0.926
Se: 0.010 0.211 0.922
Se: 0.010 0.289 0.422
Se: 0.300 0.746 0.427
Se: 0.300 0.754 0.927
Se: 0.302 0.221 0.227
Se: 0.302 0.279 0.727
Se: 0.698 0.721 0.273
Se: 0.698 0.779 0.773
Se: 0.700 0.246 0.073
Se: 0.700 0.254 0.573
Se: 0.990 0.711 0.578
Se: 0.990 0.789 0.078

Results
* total moment: 15.997 Bohr magnetons per cell
* volume: 24.29 A^3/atom
* electronic total energy: -4.040 eV/atom

(4)
# Dy2HoMg3Al2Hg

Crystalline Dy2HoMg3Al2Hg at its relaxed geometry (PBE, OQMD).

abc: 4.514 7.392 7.392
angles: 119.90 90.00 90.00
Positions (direct):
Dy: 0.000 0.213 0.787
Dy: 0.000 0.787 0.213
Ho: 0.000 0.361 0.361
Mg: 0.500 0.031 0.031
Mg: 0.500 0.543 0.787
Mg: 0.500 0.787 0.543
Al: 0.500 0.121 0.453
Al: 0.500 0.453 0.121
Hg: 0.000 0.786 0.786

Results
* total moment: 0.000 Bohr magnetons per cell
* volume: 23.75 A^3/atom
* electronic total energy: -3.276 eV/atom